1.
! Tm4HfIr5, relaxed, DFT PBE; values from VASP
! formation energy = -895 kJ/mol of formula units
&SYSTEM
  ibrav = 0, nat = 10, ntyp = 3
/
ATOMIC_SPECIES
Tm 168.93 Tm.upf
Hf 178.49 Hf.upf
Ir 192.22 Ir.upf
ATOMIC_POSITIONS crystal
Tm 0.000 0.000 0.101
Tm 0.000 0.000 0.304
Tm 0.000 0.000 0.696
Tm 0.000 0.000 0.899
Hf 0.000 0.000 0.500
Ir 0.500 0.500 0.000
Ir 0.500 0.500 0.204
Ir 0.500 0.500 0.411
Ir 0.500 0.500 0.589
Ir 0.500 0.500 0.796
CELL_PARAMETERS angstrom
3.305 0.000 0.000
0.000 3.305 0.000
0.000 0.000 17.394

---

2.
! FeSi2Mo, relaxed, DFT PBE; values from VASP
! uncorrected formation energy = -0.24 eV per atom
&SYSTEM
  ibrav = 0, nat = 4, ntyp = 3
/
ATOMIC_SPECIES
Fe 55.84 Fe.upf
Si 28.09 Si.upf
Mo 95.94 Mo.upf
ATOMIC_POSITIONS crystal
Fe 0.000 0.000 0.000
Si 0.553 0.553 0.000
Si 0.825 0.325 0.500
Mo 0.245 0.745 0.500
CELL_PARAMETERS angstrom
-1.620 1.698 4.924
1.620 -1.698 4.924
1.620 1.698 -4.924

---

3.
! MgCo3Pb, relaxed, DFT PBE; values from VASP
! distance to the lowest polymorph of the same formula = 165 meV per atom
! formation energy = 671 kJ/mol of formula units
&SYSTEM
  ibrav = 0, nat = 5, ntyp = 3
/
ATOMIC_SPECIES
Mg 24.30 Mg.upf
Co 58.93 Co.upf
Pb 207.20 Pb.upf
ATOMIC_POSITIONS crystal
Mg 0.000 0.000 0.000
Co 0.000 0.500 0.500
Co 0.500 0.000 0.500
Co 0.500 0.500 0.000
Pb 0.500 0.500 0.500
CELL_PARAMETERS angstrom
4.799 0.000 0.000
0.000 4.799 0.000
0.000 0.000 4.799

---

4.
! ZrCd2Ga, relaxed, DFT PBE; values from VASP
! formation energy = -103 kJ/mol of formula units
&SYSTEM
  ibrav = 0, nat = 4, ntyp = 3
/
ATOMIC_SPECIES
Zr 91.22 Zr.upf
Cd 112.41 Cd.upf
Ga 69.72 Ga.upf
ATOMIC_POSITIONS crystal
Zr 0.000 0.000 0.000
Cd 0.000 0.500 0.500
Cd 0.500 0.000 0.500
Ga 0.500 0.500 0.000
CELL_PARAMETERS angstrom
4.196 0.000 0.000
0.000 4.196 0.000
0.000 0.000 4.551

---

5.
! ScMn2RuC, relaxed, DFT PBE; values from VASP
! formation energy = -92 kJ/mol of formula units
&SYSTEM
  ibrav = 0, nat = 5, ntyp = 4
/
ATOMIC_SPECIES
Sc 44.96 Sc.upf
Mn 54.94 Mn.upf
Ru 101.07 Ru.upf
C 12.01 C.upf
ATOMIC_POSITIONS crystal
Sc 0.000 0.000 0.000
Mn 0.000 0.500 0.500
Mn 0.500 0.000 0.500
Ru 0.500 0.500 0.000
C 0.500 0.500 0.500
CELL_PARAMETERS angstrom
3.896 0.000 0.000
0.000 3.896 0.000
0.000 0.000 4.142

---

6.
! BeCu2Ag, relaxed, DFT PBE; values from VASP
! formation energy = 54 kJ/mol of formula units
&SYSTEM
  ibrav = 0, nat = 4, ntyp = 3
/
ATOMIC_SPECIES
Be 9.01 Be.upf
Cu 63.55 Cu.upf
Ag 107.87 Ag.upf
ATOMIC_POSITIONS crystal
Be 0.000 0.000 0.000
Cu 0.262 0.262 0.262
Cu 0.738 0.738 0.738
Ag 0.500 0.500 0.500
CELL_PARAMETERS angstrom
1.348 0.778 8.173
-1.348 0.778 8.173
0.000 -1.557 8.173

---

In states/eV/f.u., the DOS at the Fermi energy values for the records above are, in order, 4.8 1.9 13.0 1.8 4.0 0.8.